## A
First-principles (PBE-GGA) data for crystalline NiS3I at its relaxed geometry, as listed in Alexandria via LeMat-Bulk.

a = 3.611 Å, b = 8.959 Å, c = 9.569 Å
α = 89.72°, β = 86.29°, γ = 87.36°
Space group P-1 (No. 2)
Inequivalent atoms, fractional coordinates:
Ni 0.221 0.247 0.283 (multiplicity 2)
S 0.194 0.113 0.709 (multiplicity 2)
S 0.211 0.869 0.151 (multiplicity 2)
S 0.276 0.876 0.647 (multiplicity 2)
I 0.292 0.567 0.776 (multiplicity 2)

Results
Magnetization   0.00 Bohr magnetons per cell

=====

## B
First-principles (PBE-GGA) data for crystalline NiS3I at its relaxed geometry, as listed in Alexandria via LeMat-Bulk.

a = 4.502 Å, b = 4.502 Å, c = 4.502 Å
α = 90.00°, β = 90.00°, γ = 90.00°
Space group Pm-3m (No. 221)
Inequivalent atoms, fractional coordinates:
Ni 0.000 0.000 0.000 (multiplicity 1)
S 0.000 0.000 0.500 (multiplicity 3)
I 0.500 0.500 0.500 (multiplicity 1)

Results
Magnetization   0.00 Bohr magnetons per cell

=====

Short version: A, B, most stable first.